No. 1
A relaxed Ho7Cd3 crystal, computed with PBE-GGA.

magnetic moment	0.03	μB per cell
SG	No. 186
ΔH_f (0 K)	-82	meV/atom

POSCAR file:
```
Ho7Cd3
1.0
-3.671 2.433 -5.169
-8.325 -3.376 4.323
3.278 9.200 2.002
Ho Cd
14 6
direct
0.426 0.126 0.251
0.163 0.470 0.530
0.163 0.470 0.940
0.426 0.749 0.874
0.046 0.667 0.333
0.663 0.530 0.470
0.663 0.940 0.470
0.926 0.874 0.749
0.426 0.126 0.874
0.926 0.874 0.126
0.663 0.530 0.060
0.546 0.333 0.667
0.163 0.060 0.530
0.926 0.251 0.126
0.864 0.206 0.794
0.364 0.794 0.206
0.364 0.412 0.206
0.864 0.588 0.794
0.864 0.206 0.412
0.364 0.794 0.588
```

***

No. 2
A relaxed NdYTm3 crystal, computed with PBE-GGA.

magnetic moment	0.00	μB per cell
energy above the most stable polymorph in this dataset	0	meV per atom
SG	No. 11
ΔH_f (0 K)	7	meV/atom

POSCAR file:
```
NdYTm3
1.0
9.293 0.059 -2.290
-0.040 5.625 -0.017
-0.573 0.014 6.238
Tm Nd Y
6 2 2
direct
0.400 0.950 0.367
0.600 0.450 0.633
0.800 0.450 0.232
0.001 0.950 0.164
0.999 0.450 0.836
0.200 0.950 0.768
0.800 0.950 0.566
0.200 0.450 0.434
0.400 0.450 0.034
0.600 0.950 0.966
```

***

No. 3
A relaxed Fe3RePd crystal, computed with PBE-GGA.

magnetic moment	5.40	μB per cell
energy above the most stable polymorph in this dataset	0	meV per atom
SG	No. 221
ΔH_f (0 K)	1427	meV/atom

POSCAR file:
```
Fe3RePd
1.0
-3.104 1.986 2.482
-3.040 -0.842 -3.129
-0.928 -3.884 1.947
Fe Pd Re
3 1 1
direct
0.000 0.000 0.500
0.000 0.500 0.000
0.500 0.000 0.000
0.500 0.500 0.500
0.000 0.000 0.000
```

***

No. 4
A relaxed AgTe3Pd crystal, computed with PBE-GGA.

uncorrected formation energy	-0.173	eV/atom
magnetic moment	0.00	μB per cell
energy above the most stable polymorph in this dataset	0	meV per atom
SG	No. 2

POSCAR file:
```
AgTe3Pd
1.0
-3.888 -5.947 1.846
2.854 -6.637 -1.567
3.578 -3.724 4.467
Te Pd Ag
6 2 2
direct
0.906 0.630 0.232
0.516 0.235 0.248
0.163 0.975 0.266
0.094 0.370 0.768
0.484 0.765 0.752
0.837 0.025 0.734
0.164 0.162 0.511
0.836 0.838 0.489
0.467 0.387 0.765
0.533 0.613 0.235
```

***

No. 5
A relaxed TaTl2Pb crystal, computed with PBE-GGA.

magnetic moment	0.00	μB per cell
energy above the most stable polymorph in this dataset	117	meV per atom
SG	No. 65
ΔH_f (0 K)	508	meV/atom

POSCAR file:
```
TaTl2Pb
1.0
3.213 0.004 0.000
-0.788 3.115 0.000
0.000 0.000 9.997
Tl Ta Pb
2 1 1
direct
0.000 0.000 0.974
0.000 0.000 0.526
0.500 0.500 0.750
0.500 0.500 0.250
```

***

No. 6
A relaxed NaZrNO crystal, computed with PBE-GGA.

uncorrected formation energy	-1.830	eV/atom
magnetic moment	0.00	μB per cell
SG	No. 160

POSCAR file:
```
NaZrNO
1.0
3.270 0.000 0.000
-1.635 2.832 -0.002
-1.634 -0.947 5.840
Zr O Na N
1 1 1 1
direct
0.314 0.555 0.884
0.502 0.149 0.667
0.963 0.380 0.358
0.098 0.947 0.061
```

***

Among the records above, which one has the highest magnetic moment?
Fe3RePd

***

What is the formula in the fifth record?
TaTl2Pb

***

magnetic moment of number 4 (AgTe3Pd)?
0.00 μB per cell

***

Copy entry 6 word for word.
A relaxed NaZrNO crystal, computed with PBE-GGA.

uncorrected formation energy	-1.830	eV/atom
magnetic moment	0.00	μB per cell
SG	No. 160

POSCAR file:
```
NaZrNO
1.0
3.270 0.000 0.000
-1.635 2.832 -0.002
-1.634 -0.947 5.840
Zr O Na N
1 1 1 1
direct
0.314 0.555 0.884
0.502 0.149 0.667
0.963 0.380 0.358
0.098 0.947 0.061
```